Here is ZrScP after structural relaxation from the Alexandria database. Energies are from PBE.

a b c (Å): 3.435 3.435 9.615
angles (deg): 90.00 90.00 90.00
Space group I4mm (No. 107)
Inequivalent atoms, fractional coordinates:
Zr 0.000 0.000 0.000 [2 per cell]
Sc 0.000 0.000 0.699 [2 per cell]
P 0.000 0.000 0.355 [2 per cell]

**Crystal system**: tetragonal
**Calculated formation energy**: -0.760 eV per atom

***

Here is AlCuOs2 after structural relaxation from the Alexandria database. Energies are from PBE.

a b c (Å): 2.784 3.697 5.398
angles (deg): 90.00 90.00 90.00
Space group Pmm2 (No. 25)
Inequivalent atoms, fractional coordinates:
Al 0.000 0.000 0.000 [1 per cell]
Cu 0.500 0.500 0.222 [1 per cell]
Os 0.000 0.000 0.494 [1 per cell]
Os 0.500 0.500 0.719 [1 per cell]

**Crystal system**: orthorhombic
**Calculated formation energy**: -0.012 eV per atom

***

Here is Pr2Ga3Pd6 after structural relaxation from the Alexandria database. Energies are from PBE.

a b c (Å): 7.4773 7.4773 4.4082
angles (deg): 90.00 90.00 120.00
Space group P-62m (No. 189)
Inequivalent atoms, fractional coordinates:
Pr 0.3333 0.6667 0.0000 [2 per cell]
Ga 0.0000 0.3815 0.5000 [3 per cell]
Pd 0.0000 0.2130 0.0000 [3 per cell]
Pd 0.0000 0.7169 0.5000 [3 per cell]

**Crystal system**: hexagonal
**Calculated formation energy**: -0.699 eV per atom

***

Here is K2PaPdSe4 after structural relaxation from the Alexandria database. Energies are from PBE.

a b c (Å): 7.098 4.127 8.292
angles (deg): 90.00 111.41 90.00
Space group P2/m (No. 10)
Inequivalent atoms, fractional coordinates:
K 0.000 0.000 0.000 [1 per cell]
K 0.500 0.500 0.000 [1 per cell]
Pa 0.000 0.500 0.500 [1 per cell]
Pd 0.500 0.000 0.500 [1 per cell]
Se 0.210 0.000 0.725 [2 per cell]
Se 0.284 0.500 0.330 [2 per cell]

**Formation energy without anion corrections**: -812 kJ/mol of formula units
**Crystal system**: monoclinic

***

Here is BaSi2Mo after structural relaxation from the Alexandria database. Energies are from PBE.

a b c (Å): 4.498 6.490 7.400
angles (deg): 90.00 90.00 90.00
Space group Immm (No. 71)
Inequivalent atoms, fractional coordinates:
Ba 0.000 0.000 0.000 [2 per cell]
Si 0.000 0.500 0.158 [4 per cell]
Mo 0.000 0.000 0.500 [2 per cell]

**Formation energy without anion corrections**: 143 kJ/mol of formula units
**Crystal system**: orthorhombic

***

Here is NdPaPO2 after structural relaxation from the Alexandria database. Energies are from PBE.

a b c (Å): 3.797 3.797 12.299
angles (deg): 90.00 90.00 90.00
Space group I4mm (No. 107)
Inequivalent atoms, fractional coordinates:
Nd 0.000 0.000 0.000 [2 per cell]
Pa 0.000 0.000 0.719 [2 per cell]
P 0.000 0.000 0.357 [2 per cell]
O 0.000 0.500 0.121 [4 per cell]

**Formation energy without anion corrections**: -1258 kJ/mol of formula units
**Crystal system**: tetragonal

***

Here is TcOsPb2 after structural relaxation from the Alexandria database. Energies are from PBE.

a b c (Å): 4.703 3.219 5.607
angles (deg): 90.00 113.46 90.00
Space group P2/m (No. 10)
Inequivalent atoms, fractional coordinates:
Tc 0.000 0.000 0.000 [1 per cell]
Os 0.000 0.500 0.500 [1 per cell]
Pb 0.500 0.000 0.500 [1 per cell]
Pb 0.500 0.500 0.000 [1 per cell]

**Crystal system**: monoclinic
**Calculated formation energy**: 0.985 eV per atom

***

Here is Y2TlSe after structural relaxation from the Alexandria database. Energies are from PBE.

a b c (Å): 4.040 4.483 6.067
angles (deg): 90.00 90.00 90.00
Space group Pmmm (No. 47)
Inequivalent atoms, fractional coordinates:
Y 0.000 0.000 0.000 [1 per cell]
Y 0.500 0.500 0.500 [1 per cell]
Tl 0.000 0.000 0.500 [1 per cell]
Se 0.500 0.500 0.000 [1 per cell]

**Formation energy without anion corrections**: -379 kJ/mol of formula units
**Crystal system**: orthorhombic

***

Here is Ac8Ru3CBr4 after structural relaxation from the Alexandria database. Energies are from PBE.

a b c (Å): 14.759 8.525 9.577
angles (deg): 90.00 120.86 90.00
Space group C2/m (No. 12)
Inequivalent atoms, fractional coordinates:
Ac 0.019 0.242 0.316 [8 per cell]
Ac 0.223 0.000 0.684 [4 per cell]
Ac 0.235 0.500 0.705 [4 per cell]
Ru 0.000 0.500 0.500 [2 per cell]
Ru 0.250 0.250 0.500 [4 per cell]
C 0.000 0.000 0.500 [2 per cell]
Br 0.000 0.000 0.000 [2 per cell]
Br 0.000 0.500 0.000 [2 per cell]
Br 0.250 0.250 0.000 [4 per cell]

**Formation energy without anion corrections**: -1246 kJ/mol of formula units
**Crystal system**: monoclinic

***

Here is ScCu2GeH after structural relaxation from the Alexandria database. Energies are from PBE.

a b c (Å): 4.719 4.719 3.426
angles (deg): 90.00 90.00 90.00
Space group P4/mmm (No. 123)
Inequivalent atoms, fractional coordinates:
Sc 0.000 0.000 0.000 [1 per cell]
Cu 0.000 0.500 0.500 [2 per cell]
Ge 0.500 0.500 0.500 [1 per cell]
H 0.500 0.500 0.000 [1 per cell]

**Crystal system**: tetragonal
**E**: -4.255 eV/atom

***

Here is ErZrAlRh after structural relaxation from the Alexandria database. Energies are from PBE.

a b c (Å): 6.845 6.845 6.845
angles (deg): 90.00 90.00 90.00
Space group F-43m (No. 216)
Inequivalent atoms, fractional coordinates:
Er 0.000 0.000 0.000 [4 per cell]
Zr 0.000 0.000 0.500 [4 per cell]
Al 0.250 0.250 0.750 [4 per cell]
Rh 0.250 0.250 0.250 [4 per cell]

**Crystal system**: cubic
**Calculated formation energy**: -0.491 eV per atom

***

Here is LaCePr6Sm2 after structural relaxation from the Alexandria database. Energies are from PBE.

a b c (Å): 11.464 7.057 9.064
angles (deg): 90.00 103.19 90.00
Space group C2/m (No. 12)
Inequivalent atoms, fractional coordinates:
La 0.000 0.000 0.000 [2 per cell]
Ce 0.000 0.500 0.500 [2 per cell]
Pr 0.128 0.500 0.916 [4 per cell]
Pr 0.172 0.237 0.301 [8 per cell]
Sm 0.093 0.000 0.657 [4 per cell]

**Crystal system**: monoclinic
**Calculated formation energy**: 0.216 eV per atom

***

Here is Tc3Hg after structural relaxation from the Alexandria database. Energies are from PBE.

a b c (Å): 5.043 5.043 5.043
angles (deg): 90.00 90.00 90.00
Space group Pm-3n (No. 223)
Inequivalent atoms, fractional coordinates:
Tc 0.000 0.250 0.500 [6 per cell]
Hg 0.000 0.000 0.000 [2 per cell]

**Crystal system**: cubic
**Calculated formation energy**: 0.577 eV per atom

***

Here is ReRh2SI after structural relaxation from the Alexandria database. Energies are from PBE.

a b c (Å): 4.823 4.823 4.985
angles (deg): 90.00 90.00 90.00
Space group P4/mmm (No. 123)
Inequivalent atoms, fractional coordinates:
Re 0.000 0.000 0.000 [1 per cell]
Rh 0.000 0.500 0.500 [2 per cell]
S 0.500 0.500 0.000 [1 per cell]
I 0.000 0.000 0.500 [1 per cell]

**Formation energy without anion corrections**: 967 kJ/mol of formula units
**Crystal system**: tetragonal

***

Here is PmSmDySc after structural relaxation from the Alexandria database. Energies are from PBE.

a b c (Å): 12.216 5.676 3.784
angles (deg): 90.00 107.96 90.00
Space group Cm (No. 8)
Inequivalent atoms, fractional coordinates:
Pm 0.000 0.000 0.000 [2 per cell]
Sm 0.274 0.000 0.787 [2 per cell]
Dy 0.041 0.500 0.542 [2 per cell]
Sc 0.269 0.500 0.274 [2 per cell]

**Crystal system**: monoclinic
**Calculated formation energy**: 0.101 eV per atom

***

Here is AcMg3Pb4 after structural relaxation from the Alexandria database. Energies are from PBE.

a b c (Å): 10.740 7.974 5.378
angles (deg): 90.00 90.00 90.00
Space group Pmma (No. 51)
Inequivalent atoms, fractional coordinates:
Ac 0.000 0.000 0.000 [2 per cell]
Mg 0.000 0.500 0.000 [2 per cell]
Mg 0.250 0.000 0.476 [2 per cell]
Mg 0.250 0.500 0.430 [2 per cell]
Pb 0.000 0.280 0.500 [4 per cell]
Pb 0.250 0.280 0.938 [4 per cell]

**Crystal system**: orthorhombic
**Calculated formation energy**: -0.165 eV per atom

***

Here is ZnFeMo2N after structural relaxation from the Alexandria database. Energies are from PBE.

a b c (Å): 4.110 4.110 3.803
angles (deg): 90.00 90.00 90.00
Space group P4/mmm (No. 123)
Inequivalent atoms, fractional coordinates:
Zn 0.000 0.000 0.000 [1 per cell]
Fe 0.500 0.500 0.000 [1 per cell]
Mo 0.000 0.500 0.500 [2 per cell]
N 0.500 0.500 0.500 [1 per cell]

**Formation energy without anion corrections**: -42 kJ/mol of formula units
**Crystal system**: tetragonal

***

Here is MgAsW after structural relaxation from the Alexandria database. Energies are from PBE.

a b c (Å): 6.182 6.182 6.182
angles (deg): 90.00 90.00 90.00
Space group F-43m (No. 216)
Inequivalent atoms, fractional coordinates:
Mg 0.000 0.000 0.000 [4 per cell]
As 0.000 0.000 0.500 [4 per cell]
W 0.250 0.250 0.250 [4 per cell]

**Crystal system**: cubic
**Calculated formation energy**: 0.807 eV per atom

***

Here is ErH4Ru after structural relaxation from the Alexandria database. Energies are from PBE.

a b c (Å): 5.135 8.919 5.613
angles (deg): 90.00 111.88 90.00
Space group C2/c (No. 15)
Inequivalent atoms, fractional coordinates:
Er 0.000 0.134 0.250 [4 per cell]
H 0.001 0.370 0.533 [8 per cell]
H 0.150 0.076 0.657 [8 per cell]
Ru 0.000 0.451 0.250 [4 per cell]

**Crystal system**: monoclinic
**E**: -4.942 eV/atom

***

Here is GaSiNi2 after structural relaxation from the Alexandria database. Energies are from PBE.

a b c (Å): 6.522 6.522 5.125
angles (deg): 90.00 90.00 90.00
Space group I-42d (No. 122)
Inequivalent atoms, fractional coordinates:
Ga 0.000 0.000 0.000 [4 per cell]
Si 0.000 0.000 0.500 [4 per cell]
Ni 0.211 0.250 0.625 [8 per cell]

**Formation energy without anion corrections**: -1 kJ/mol of formula units
**Crystal system**: tetragonal